[1]
This record from Alexandria via LeMat-Bulk describes an optimized crystal structure of TlHO. The functional is PBE-GGA.

It has space group P1 (No. 1), with a = 3.594 Å, b = 5.238 Å, c = 6.708 Å, α = 109.85°, β = 101.74° and γ = 100.19°. The distinct sites, in fractional coordinates, are Tl at (0.000, 0.000, 0.000), Tl at (0.289, 0.282, 0.568), H at (0.320, 0.744, 0.284), H at (0.797, 0.481, 0.284), O at (0.072, 0.797, 0.284) and O at (0.691, 0.290, 0.284).

As for the energy relative to the lowest polymorph listed for this composition: 0.2 meV per atom.



[2]
This record from Alexandria via LeMat-Bulk describes an optimized crystal structure of Nd4Tl3Hg2. The functional is PBE-GGA.

It has space group P-3m1 (No. 164), with a = 5.3116 Å, b = 5.3116 Å, c = 10.7750 Å, α = 90.00°, β = 90.00° and γ = 120.00°. The distinct sites, in fractional coordinates, are Nd at (0.0000, 0.0000, 0.1689), Nd at (0.3333, 0.6667, 0.6127), Tl at (0.0000, 0.0000, 0.5000), Tl at (0.3333, 0.6667, 0.9477) and Hg at (0.3333, 0.6667, 0.2949).

The electronic total energy is -3.3246 eV per atom.



[3]
This record from Alexandria via LeMat-Bulk describes an optimized crystal structure of SbWCl2. The functional is PBE-GGA.

It has space group Cm (No. 8), with a = 10.143 Å, b = 3.196 Å, c = 7.264 Å, α = 90.00°, β = 111.94° and γ = 90.00°. The distinct sites, in fractional coordinates, are Sb at (0.000, 0.000, 0.000), W at (0.217, 0.500, 0.000), Cl at (0.182, 0.000, 0.722) and Cl at (0.331, 0.000, 0.278).

As for the energy relative to the lowest polymorph listed for this composition: 0.0 meV per atom. The raw formation energy is -0.1302 eV per atom.



[4]
This record from Alexandria via LeMat-Bulk describes an optimized crystal structure of HfZr3Os4. The functional is PBE-GGA.

It has space group P4/mmm (No. 123), with a = 3.276 Å, b = 3.276 Å, c = 13.111 Å, α = 90.00°, β = 90.00° and γ = 90.00°. The distinct sites, in fractional coordinates, are Hf at (0.000, 0.000, 0.000), Zr at (0.000, 0.000, 0.249), Zr at (0.000, 0.000, 0.500), Os at (0.500, 0.500, 0.123) and Os at (0.500, 0.500, 0.374).

The electronic total energy is -10.6288 eV per atom.



[5]
This record from Alexandria via LeMat-Bulk describes an optimized crystal structure of Tb6SmDy2Sc. The functional is PBE-GGA.

It has space group C2/c (No. 15), with a = 9.087 Å, b = 14.912 Å, c = 9.405 Å, α = 90.00°, β = 96.88° and γ = 90.00°. The distinct sites, in fractional coordinates, are Tb at (0.060, 0.185, 0.445), Tb at (0.099, 0.391, 0.615), Tb at (0.217, 0.221, 0.810), Sm at (0.000, 0.024, 0.750), Dy at (0.245, 0.449, 0.952) and Sc at (0.000, 0.415, 0.250).

The electronic total energy is -4.6770 eV per atom.



[6]
This record from Alexandria via LeMat-Bulk describes an optimized crystal structure of BeInNF2. The functional is PBE-GGA.

It has space group P4/mmm (No. 123), with a = 4.116 Å, b = 4.116 Å, c = 4.379 Å, α = 90.00°, β = 90.00° and γ = 90.00°. The distinct sites, in fractional coordinates, are Be at (0.000, 0.000, 0.000), In at (0.500, 0.500, 0.500), N at (0.500, 0.500, 0.000) and F at (0.000, 0.500, 0.500).

As for the energy relative to the lowest polymorph listed for this composition: 1151.1 meV per atom. The raw formation energy is -0.2233 eV per atom.



[7]
This record from Alexandria via LeMat-Bulk describes an optimized crystal structure of Tl4InSe6. The functional is PBE-GGA.

It has space group Cc (No. 9), with a = 13.375 Å, b = 8.760 Å, c = 13.613 Å, α = 90.00°, β = 108.06° and γ = 90.00°. The distinct sites, in fractional coordinates, are Tl at (0.000, 0.037, 0.000), Tl at (0.166, 0.257, 0.371), Tl at (0.313, 0.436, 0.689), Tl at (0.472, 0.083, 0.195), In at (0.255, 0.248, 0.929), Se at (0.171, 0.468, 0.007), Se at (0.182, 0.233, 0.731), Se at (0.208, 0.001, 0.016), Se at (0.372, 0.322, 0.323), Se at (0.459, 0.236, 0.985) and Se at (0.485, 0.296, 0.662).

The raw formation energy is -0.2748 eV per atom.



[8]
This record from Alexandria via LeMat-Bulk describes an optimized crystal structure of Rb3BeGa. The functional is PBE-GGA.

It has space group Pm-3m (No. 221), with a = 6.591 Å, b = 6.591 Å, c = 6.591 Å, α = 90.00°, β = 90.00° and γ = 90.00°. The distinct sites, in fractional coordinates, are Rb at (0.000, 0.000, 0.500), Be at (0.000, 0.000, 0.000) and Ga at (0.500, 0.500, 0.500).

As for the energy relative to the lowest polymorph listed for this composition: 0.0 meV per atom.



[9]
This record from Alexandria via LeMat-Bulk describes an optimized crystal structure of SiPt2W. The functional is PBE-GGA.

It has space group C2/m (No. 12), with a = 9.282 Å, b = 2.819 Å, c = 4.676 Å, α = 90.00°, β = 93.11° and γ = 90.00°. The distinct sites, in fractional coordinates, are Si at (0.000, 0.000, 0.000), Pt at (0.233, 0.000, 0.747) and W at (0.000, 0.500, 0.500).

The raw formation energy is -0.1607 eV per atom.



[10]
This record from Alexandria via LeMat-Bulk describes an optimized crystal structure of GaMo. The functional is PBE-GGA.

It has space group P2_12_12_1 (No. 19), with a = 5.066 Å, b = 5.299 Å, c = 9.290 Å, α = 90.00°, β = 90.00° and γ = 90.00°. The distinct sites, in fractional coordinates, are Ga at (0.078, 0.036, 0.291), Ga at (0.175, 0.367, 0.970), Mo at (0.083, 0.602, 0.726) and Mo at (0.153, 0.863, 0.035).

As for the energy relative to the lowest polymorph listed for this composition: 27.8 meV per atom.



[11]
This record from Alexandria via LeMat-Bulk describes an optimized crystal structure of NaErScTl. The functional is PBE-GGA.

It has space group F-43m (No. 216), with a = 7.412 Å, b = 7.412 Å, c = 7.412 Å, α = 90.00°, β = 90.00° and γ = 90.00°. The distinct sites, in fractional coordinates, are Na at (0.000, 0.000, 0.000), Er at (0.250, 0.250, 0.750), Sc at (0.250, 0.250, 0.250) and Tl at (0.000, 0.000, 0.500).

The electronic total energy is -3.6449 eV per atom.



[12]
This record from Alexandria via LeMat-Bulk describes an optimized crystal structure of Rb2TeMoPb. The functional is PBE-GGA.

It has space group P4/mmm (No. 123), with a = 6.840 Å, b = 6.840 Å, c = 5.351 Å, α = 90.00°, β = 90.00° and γ = 90.00°. The distinct sites, in fractional coordinates, are Rb at (0.000, 0.500, 0.000), Te at (0.000, 0.000, 0.500), Mo at (0.500, 0.500, 0.500) and Pb at (0.500, 0.500, 0.000).

The raw formation energy is 0.7191 eV per atom.